# PrY4Cd

A relaxed PrY4Cd crystal (GGA-PBE, Alexandria).

Unit cell a=6.1355 b=6.1355 c=11.8385 alpha=104.13 beta=104.13 gamma=59.91
Last column: nearest neighbours and their distance in Å.
Atoms (fractional coordinates):
Y1 0.2466 0.4269 0.7491  3 Cd 3.45-3.59, 7 Y 3.47-3.58, 2 Pr 3.49-3.52
Y2 0.8355 0.3257 0.5056  2 Cd 3.40-3.51, 7 Y 3.44-3.64, 3 Pr 3.50-3.59
Cd1 0.9231 0.0769 0.7500  10 Y 3.40-3.59, 2 Pr 3.54
Pr1 0.5000 0.0000 0.5000  10 Y 3.49-3.59, 2 Cd 3.54
Y3 0.6743 0.1645 0.9944  2 Cd 3.40-3.51, 7 Y 3.44-3.64, 3 Pr 3.50-3.59
Y4 0.5731 0.7534 0.7509  3 Cd 3.45-3.59, 7 Y 3.47-3.58, 2 Pr 3.49-3.52
Y5 0.4269 0.2466 0.2491  3 Cd 3.45-3.59, 7 Y 3.47-3.58, 2 Pr 3.49-3.52
Pr2 0.0000 0.5000 0.0000  10 Y 3.49-3.59, 2 Cd 3.54
Cd2 0.0769 0.9231 0.2500  10 Y 3.40-3.59, 2 Pr 3.54
Y6 0.3257 0.8355 0.0056  2 Cd 3.40-3.51, 7 Y 3.44-3.64, 3 Pr 3.50-3.59
Y7 0.7534 0.5731 0.2509  3 Cd 3.45-3.59, 7 Y 3.47-3.58, 2 Pr 3.49-3.52
Y8 0.1645 0.6743 0.4944  2 Cd 3.40-3.51, 7 Y 3.44-3.64, 3 Pr 3.50-3.59

Calculated values
ΔE to the lowest computed polymorph: 0.0763 eV/atom
spin magnetization: 0.00 μB per atom
energy of formation from the pure elements: -0.02 eV/atom